No. 1
5
Lattice="4.097 0.000 0.000 0.000 4.097 0.000 0.000 0.000 3.383" Properties=species:S:1:pos:R:3 comment="MnAlHRu2 PBE-GGA optimized geometry" space_group="No. 123" total_energy_ev_per_fu=-35.93 pbc="T T T"
Mn 0.000 0.000 0.000
Al 2.048 2.048 0.000
H 0.000 0.000 1.691
Ru 0.000 2.048 1.691
Ru 2.048 0.000 1.691

***

No. 2
5
Lattice="3.739 0.000 0.000 0.000 3.739 0.000 0.000 0.000 3.923" Properties=species:S:1:pos:R:3 comment="Mn2AlHRu PBE-GGA optimized geometry" space_group="No. 123" total_energy_ev_per_fu=-35.57 pbc="T T T"
Mn 0.000 1.869 0.000
Mn 1.869 0.000 0.000
Al 0.000 0.000 1.962
H 1.869 1.869 0.000
Ru 1.869 1.869 1.962

***

No. 3
5
Lattice="3.634 0.000 0.000 0.000 3.634 0.000 0.000 0.000 4.109" Properties=species:S:1:pos:R:3 comment="Mn2AlHRu PBE-GGA optimized geometry" space_group="No. 123" total_energy_ev_per_fu=-35.18 pbc="T T T"
Mn 0.000 1.817 0.000
Mn 1.817 0.000 0.000
Al 0.000 0.000 2.054
H 0.000 0.000 0.000
Ru 1.817 1.817 2.054

***

No. 4
5
Lattice="4.472 0.000 0.000 0.000 4.472 0.000 0.000 0.000 4.811" Properties=species:S:1:pos:R:3 comment="MnAlHS2 PBE-GGA optimized geometry" space_group="No. 123" total_energy_ev_per_fu=-18.11 pbc="T T T"
Mn 0.000 0.000 0.000
Al 0.000 0.000 2.406
H 2.236 2.236 0.000
S 0.000 2.236 2.406
S 2.236 0.000 2.406

***

No. 5
5
Lattice="3.524 0.000 0.000 0.000 3.524 0.000 0.000 0.000 5.412" Properties=species:S:1:pos:R:3 comment="MnAlSiH2 PBE-GGA optimized geometry" space_group="No. 123" total_energy_ev_per_fu=-22.23 pbc="T T T"
Mn 0.000 0.000 0.000
Al 1.762 1.762 0.000
Si 1.762 1.762 2.706
H 0.000 1.762 2.706
H 1.762 0.000 2.706

***

No. 6
5
Lattice="4.542 0.000 0.000 0.000 4.542 0.000 0.000 0.000 4.554" Properties=species:S:1:pos:R:3 comment="Ta2MnAlH PBE-GGA optimized geometry" space_group="No. 123" total_energy_ev_per_fu=-33.89 pbc="T T T"
Ta 0.000 2.271 0.000
Ta 2.271 0.000 0.000
Mn 0.000 0.000 0.000
Al 0.000 0.000 2.277
H 2.271 2.271 2.277

***

No. 7
5
Lattice="4.134 0.000 0.000 0.000 4.134 0.000 0.000 0.000 3.823" Properties=species:S:1:pos:R:3 comment="Ta2MnAlH PBE-GGA optimized geometry" space_group="No. 123" total_energy_ev_per_fu=-40.51 pbc="T T T"
Ta 0.000 2.067 0.000
Ta 2.067 0.000 0.000
Mn 0.000 0.000 1.912
Al 2.067 2.067 1.912
H 0.000 0.000 0.000

***

No. 8
5
Lattice="3.882 0.000 0.000 0.000 3.882 0.000 0.000 0.000 3.878" Properties=species:S:1:pos:R:3 comment="TaMn2AlH PBE-GGA optimized geometry" space_group="No. 123" total_energy_ev_per_fu=-37.81 pbc="T T T"
Ta 0.000 0.000 0.000
Mn 0.000 1.941 1.939
Mn 1.941 0.000 1.939
Al 1.941 1.941 0.000
H 0.000 0.000 1.939

***

No. 9
5
Lattice="4.163 0.000 0.000 0.000 4.163 0.000 0.000 0.000 3.317" Properties=species:S:1:pos:R:3 comment="MnAl2TcH PBE-GGA optimized geometry" space_group="No. 123" total_energy_ev_per_fu=-31.24 pbc="T T T"
Mn 0.000 0.000 0.000
Al 0.000 2.081 1.659
Al 2.081 0.000 1.659
Tc 2.081 2.081 0.000
H 0.000 0.000 1.659

***

No. 10
5
Lattice="4.157 0.000 0.000 0.000 4.157 0.000 0.000 0.000 3.436" Properties=species:S:1:pos:R:3 comment="MnAl2TcH PBE-GGA optimized geometry" space_group="No. 123" total_energy_ev_per_fu=-30.84 pbc="T T T"
Mn 0.000 0.000 0.000
Al 0.000 2.078 1.718
Al 2.078 0.000 1.718
Tc 2.078 2.078 0.000
H 2.078 2.078 1.718

***

No. 11
12
Lattice="4.360 0.000 0.000 -2.180 3.776 0.000 0.000 0.000 6.752" Properties=species:S:1:pos:R:3 comment="ThMn2AlH8 PBE-GGA optimized geometry" space_group="No. 164" total_energy_ev_per_fu=-55.16 pbc="T T T"
Th 0.000 0.000 0.000
Mn 0.000 2.517 2.302
Mn 2.180 1.259 4.449
Al 0.000 0.000 3.376
H 0.000 1.044 1.906
H -1.276 3.254 1.906
H 0.904 0.522 4.846
H 0.000 2.517 0.642
H 2.180 1.259 6.109
H 1.276 3.254 1.906
H 3.456 0.522 4.846
H 2.180 2.732 4.846

***

No. 12
10
Lattice="2.161 1.248 5.327 -2.161 1.248 5.327 0.000 -2.496 5.327" Properties=species:S:1:pos:R:3 comment="ThMn2AlH6 PBE-GGA optimized geometry" space_group="No. 166" total_energy_ev_per_fu=-52.30 pbc="T T T"
Th 0.000 0.000 0.000
Mn 0.000 0.000 3.223
Mn 0.000 0.000 12.759
Al 0.000 0.000 7.991
H -1.093 -0.631 6.356
H 0.000 -1.262 9.626
H -1.093 0.631 9.626
H 1.093 -0.631 6.356
H 0.000 1.262 6.356
H 1.093 0.631 9.626